Below is KMoNF2 after structural relaxation, with properties calculated at the GGA+U level.

As for the total DFT energy (no corrections): -3.73 eV/atom. For the volume, the calculation gives 20.51 A^3/atom. For the density of states at the Fermi level, the calculation gives 0.727 states/eV per atom.

It has space group P4/mmm (No. 123), with a = 4.591 Å, b = 4.591 Å, c = 4.866 Å, α = 90.00°, β = 90.00° and γ = 90.00°. The asymmetric unit holds K at (0.000, 0.000, 0.000), Mo at (0.500, 0.500, 0.500), N at (0.000, 0.000, 0.500) and F at (0.000, 0.500, 0.000).